! LiHfTlAg PBE optimized geometry; values from VASP
&SYSTEM
  ibrav = 0, nat = 4, ntyp = 4
/
ATOMIC_SPECIES
Li 6.94 Li.upf
Hf 178.49 Hf.upf
Tl 204.38 Tl.upf
Ag 107.87 Ag.upf
CELL_PARAMETERS angstrom
0.000 3.402 3.402
3.402 0.000 3.402
3.402 3.402 0.000
ATOMIC_POSITIONS crystal
Li 0.000 0.000 0.000
Hf 0.500 0.500 0.500
Tl 0.250 0.250 0.250
Ag 0.750 0.750 0.750
! * space group: F-43m (216)
! * electronic total energy: -4.269 eV per atom
! * DOS at the Fermi energy: 0.7047 states/eV per atom